11
Lattice="7.803 0.000 0.000 -3.901 6.757 0.000 0.000 0.000 3.977" Properties=species:S:1:pos:R:3 comment="Li6Sm2Pd3, optimized geometry, DFT GGA-PBE" e_form_kj_per_mol_atoms=-33.86 n_ef_per_ev_cell=3.7 pbc="T T T"
Li -0.817 1.415 0.000
Li -2.912 5.044 1.988
Li 1.634 0.000 0.000
Li 0.989 1.714 1.988
Li 5.824 0.000 1.988
Li 3.085 5.343 0.000
Sm 0.000 4.505 0.000
Sm 3.901 2.252 0.000
Pd -1.617 2.801 1.988
Pd 3.234 0.000 1.988
Pd 2.284 3.956 1.988



14
Lattice="7.736 0.000 0.000 0.000 7.736 0.000 0.000 0.000 4.172" Properties=species:S:1:pos:R:3 comment="Li4SmPd2, optimized geometry, DFT GGA-PBE" e_form_kj_per_mol_atoms=-38.71 n_ef_per_ev_cell=7.3 pbc="T T T"
Li 0.754 2.683 0.000
Li 1.185 4.622 2.086
Li 2.683 0.754 0.000
Li 3.115 6.552 2.086
Li 4.622 1.185 2.086
Li 5.053 6.983 0.000
Li 6.552 3.115 2.086
Li 6.983 5.053 0.000
Sm 0.000 0.000 2.086
Sm 3.868 3.868 0.000
Pd 1.601 6.136 0.000
Pd 2.268 2.268 2.086
Pd 5.469 5.469 2.086
Pd 6.136 1.601 0.000



17
Lattice="-4.234 4.234 4.234 4.234 -4.234 4.234 4.234 4.234 -4.234" Properties=species:S:1:pos:R:3 comment="LiSm4Pd12, optimized geometry, DFT GGA-PBE" e_form_kj_per_mol_atoms=-76.22 n_ef_per_ev_cell=2.2 pbc="T T T"
Li 0.000 0.000 0.000
Sm 2.117 2.117 -2.117
Sm 2.117 -2.117 2.117
Sm -2.117 2.117 2.117
Sm 2.117 2.117 2.117
Pd 2.359 0.000 0.000
Pd 6.109 0.000 0.000
Pd 4.234 2.117 0.000
Pd 4.234 0.000 2.117
Pd 0.000 2.359 0.000
Pd 0.000 0.000 2.359
Pd 2.117 4.234 0.000
Pd 2.117 0.000 4.234
Pd 0.000 6.109 0.000
Pd 0.000 0.000 6.109
Pd 0.000 4.234 2.117
Pd 0.000 2.117 4.234



Repeat the second record exactly.
14
Lattice="7.736 0.000 0.000 0.000 7.736 0.000 0.000 0.000 4.172" Properties=species:S:1:pos:R:3 comment="Li4SmPd2, optimized geometry, DFT GGA-PBE" e_form_kj_per_mol_atoms=-38.71 n_ef_per_ev_cell=7.3 pbc="T T T"
Li 0.754 2.683 0.000
Li 1.185 4.622 2.086
Li 2.683 0.754 0.000
Li 3.115 6.552 2.086
Li 4.622 1.185 2.086
Li 5.053 6.983 0.000
Li 6.552 3.115 2.086
Li 6.983 5.053 0.000
Sm 0.000 0.000 2.086
Sm 3.868 3.868 0.000
Pd 1.601 6.136 0.000
Pd 2.268 2.268 2.086
Pd 5.469 5.469 2.086
Pd 6.136 1.601 0.000



What is the formula in the third record?
LiSm4Pd12